AlPCN4: relaxed, PBE.

Results
Calculated total energy = -7.33 eV per atom
Energy relative to the elements, uncorrected = 5.3 kJ/mol of atoms
Space group = No. 1
Relative energy among the computed polymorphs = 0.266 eV/atom

a b c (Å): 3.691 4.417 5.155
angles (deg): 73.09 83.23 79.41
Fractional coordinates of all 7 atoms:
Al: 0.000 0.000 0.000
P: 0.118 0.577 0.713
C: 0.413 0.408 0.273
N: 0.190 0.631 0.346
N: 0.375 0.811 0.788
N: 0.618 0.200 0.202
N: 0.748 0.828 0.785